(1)
10
Lattice="8.0251 0.0000 0.0000 0.0000 8.0251 0.0000 0.0000 0.0000 3.7073" Properties=species:S:1:pos:R:3 comment="Y2AgAs2 | Alexandria via LeMat-Bulk | PBE | relaxed" e_form_kj_per_mol_atoms=-72.9 energy_ev_per_atom=-5.772 pbc="T T T"
Y 1.2073 2.8053 0.0000
Y 2.8053 6.8178 0.0000
Y 5.2198 1.2073 0.0000
Y 6.8178 5.2198 0.0000
Ag 0.0000 0.0000 0.0000
Ag 4.0126 4.0126 0.0000
As 1.2514 5.2640 1.8537
As 2.7611 1.2514 1.8537
As 5.2640 6.7737 1.8537
As 6.7737 2.7611 1.8537



(2)
5
Lattice="5.3086 0.0000 0.0000 0.0000 5.3086 0.0000 0.0000 0.0000 3.4702" Properties=species:S:1:pos:R:3 comment="MnSiTe2N | Alexandria via LeMat-Bulk | PBE | relaxed" energy_ev_per_atom=-5.474 e_form_raw_ev_per_atom=0.37 pbc="T T T"
Mn 0.0000 0.0000 0.0000
Si 2.6543 2.6543 1.7351
Te 0.0000 2.6543 0.0000
Te 2.6543 0.0000 0.0000
N 0.0000 0.0000 1.7351



(3)
9
Lattice="3.4143 1.9713 8.4162 -3.4143 1.9713 8.4162 0.0000 -3.9425 8.4162" Properties=species:S:1:pos:R:3 comment="AcTb2Er6 | Alexandria via LeMat-Bulk | PBE | relaxed" e_form_kj_per_mol_atoms=38.0 energy_ev_per_atom=-4.134 pbc="T T T"
Ac 0.0000 0.0000 0.0000
Tb 0.0000 0.0000 14.6695
Tb 0.0000 0.0000 19.1759
Er 0.0000 -2.0198 5.4867
Er -1.7492 1.0099 5.4867
Er 0.0000 -1.9512 11.3613
Er -1.6898 0.9756 11.3613
Er 1.7492 1.0099 5.4867
Er 1.6898 0.9756 11.3613